(1)
Below is a relaxed Mn2ZnMo crystal, with properties calculated at the PBE-GGA level.

Output
VASP energy = -6.966 eV/atom
formation enthalpy at 0 K = 249 kJ/mol of formula units
space group = I-42d
total magnetic moment = 4.0 μB per formula unit

The structure in POSCAR format:
```
Mn2ZnMo
1.0
-3.366 3.366 2.624
3.366 -3.366 2.624
3.366 3.366 -2.624
Mn Zn Mo
4 2 2
direct
0.111 0.625 0.986
0.375 0.361 0.486
0.639 0.125 0.014
0.875 0.889 0.514
0.250 0.750 0.500
0.500 0.500 0.000
0.000 0.000 0.000
0.750 0.250 0.500
```



(2)
Below is a relaxed AsOs crystal, with properties calculated at the PBE-GGA level.

Output
VASP energy = -7.692 eV/atom
formation enthalpy at 0 K = 48 kJ/mol of formula units
space group = Pmmn
total magnetic moment = 0.0 μB per formula unit

The structure in POSCAR format:
```
AsOs
1.0
3.025 0.000 0.000
0.000 4.568 0.000
0.000 0.000 4.393
As Os
2 2
direct
0.250 0.250 0.135
0.750 0.750 0.865
0.250 0.750 0.385
0.750 0.250 0.615
```



(3)
Below is a relaxed LaGaGe crystal, with properties calculated at the PBE-GGA level.

Output
VASP energy = -4.558 eV/atom
formation enthalpy at 0 K = -106 kJ/mol of formula units
space group = I4mm
total magnetic moment = 0.0 μB per formula unit

The structure in POSCAR format:
```
LaGaGe
1.0
-2.155 2.155 4.242
2.155 -2.155 4.242
2.155 2.155 -4.242
La Ga Ge
1 1 1
direct
0.000 0.000 0.000
0.649 0.649 0.000
0.353 0.353 0.000
```



The lowest VASP energy belongs to which entry? AsOs



Among the records above, which one has the highest formation enthalpy at 0 K? Mn2ZnMo



total magnetic moment of number 1 (Mn2ZnMo)? 4.0 μB per formula unit



Among the records above, which one has the highest VASP energy? LaGaGe